[1]
# PBE-GGA Sr2CoAu, optimized geometry
data_Sr2CoAu
_chemical_formula_sum 'Sr4 Co2 Au2'
_cell_length_a 7.487
_cell_length_b 4.192
_cell_length_c 8.154
_cell_angle_alpha 90.00
_cell_angle_beta 106.71
_cell_angle_gamma 90.00
_symmetry_space_group_name_H-M 'C 1 2/m 1'
_symmetry_Int_Tables_number 12
loop_
_symmetry_equiv_pos_as_xyz
'x,y,z'
'-x,-y,-z'
'-x,y,-z'
'x,-y,z'
'x+1/2,y+1/2,z'
'-x+1/2,-y+1/2,-z'
'-x+1/2,y+1/2,-z'
'x+1/2,-y+1/2,z'
loop_
_atom_site_label
_atom_site_fract_x
_atom_site_fract_y
_atom_site_fract_z
_atom_site_occupancy
Sr1 0.245 0.000 0.236 1
Co1 0.000 0.500 0.000 1
Au1 0.000 0.000 0.500 1
# **E_form**: 0.11 eV/atom
# **Calculated volume**: 245.1 Å³/cell
# **Electronic total energy**: -3.326 eV per atom

[2]
# PBE-GGA ErTmTiCd, optimized geometry
data_ErTmTiCd
_chemical_formula_sum 'Er4 Tm4 Ti4 Cd4'
_cell_length_a 7.327
_cell_length_b 7.327
_cell_length_c 7.327
_cell_angle_alpha 90.00
_cell_angle_beta 90.00
_cell_angle_gamma 90.00
_symmetry_space_group_name_H-M 'F -4 3 m'
_symmetry_Int_Tables_number 216
_symmetry_space_group_name_Hall 'F -4 2 3'
loop_
_atom_site_label
_atom_site_fract_x
_atom_site_fract_y
_atom_site_fract_z
_atom_site_occupancy
Er1 0.000 0.000 0.000 1
Tm1 0.000 0.000 0.500 1
Ti1 0.250 0.250 0.250 1
Cd1 0.250 0.250 0.750 1
# **E_form**: 0.04 eV/atom
# **Calculated volume**: 393.4 Å³/cell
# **Electronic total energy**: -4.418 eV per atom

[3]
# PBE-GGA Tl2RuAu, optimized geometry
data_Tl2RuAu
_chemical_formula_sum 'Tl4 Ru2 Au2'
_cell_length_a 3.096
_cell_length_b 4.547
_cell_length_c 12.441
_cell_angle_alpha 90.00
_cell_angle_beta 90.00
_cell_angle_gamma 90.00
_symmetry_space_group_name_H-M 'I m m 2'
_symmetry_Int_Tables_number 44
loop_
_symmetry_equiv_pos_as_xyz
'x,y,z'
'-x,-y,z'
'-x,y,z'
'x,-y,z'
'x+1/2,y+1/2,z+1/2'
'-x+1/2,-y+1/2,z+1/2'
'-x+1/2,y+1/2,z+1/2'
'x+1/2,-y+1/2,z+1/2'
loop_
_atom_site_label
_atom_site_fract_x
_atom_site_fract_y
_atom_site_fract_z
_atom_site_occupancy
Tl1 0.000 0.000 0.000 1
Tl2 0.000 0.500 0.209 1
Ru1 0.000 0.000 0.515 1
Au1 0.000 0.500 0.824 1
# **E_form**: 0.34 eV/atom
# **Calculated volume**: 175.1 Å³/cell
# **Electronic total energy**: -3.984 eV per atom
# **Energy relative to the lowest polymorph listed for this composition**: 0.0 kJ per mole of atoms

[4]
# PBE-GGA MgTe2Ru, optimized geometry
data_MgTe2Ru
_chemical_formula_sum 'Mg1 Te2 Ru1'
_cell_length_a 5.142
_cell_length_b 4.002
_cell_length_c 5.869
_cell_angle_alpha 90.00
_cell_angle_beta 115.88
_cell_angle_gamma 90.00
_symmetry_space_group_name_H-M 'P 1 2/m 1'
_symmetry_Int_Tables_number 10
loop_
_symmetry_equiv_pos_as_xyz
'x,y,z'
'-x,-y,-z'
'-x,y,-z'
'x,-y,z'
loop_
_atom_site_label
_atom_site_fract_x
_atom_site_fract_y
_atom_site_fract_z
_atom_site_occupancy
Mg1 0.000 0.000 0.000 1
Te1 0.340 0.500 0.680 1
Ru1 0.500 0.000 0.000 1
# **Formation energy without anion corrections**: -0.066 eV per atom
# **Calculated volume**: 108.7 Å³/cell
# **Electronic total energy**: -4.355 eV per atom

[5]
# PBE-GGA InCuH, optimized geometry
data_InCuH
_chemical_formula_sum 'In4 Cu4 H4'
_cell_length_a 8.766
_cell_length_b 5.084
_cell_length_c 4.296
_cell_angle_alpha 90.00
_cell_angle_beta 107.33
_cell_angle_gamma 90.00
_symmetry_space_group_name_H-M 'C 1 m 1'
_symmetry_Int_Tables_number 8
loop_
_symmetry_equiv_pos_as_xyz
'x,y,z'
'x,-y,z'
'x+1/2,y+1/2,z'
'x+1/2,-y+1/2,z'
loop_
_atom_site_label
_atom_site_fract_x
_atom_site_fract_y
_atom_site_fract_z
_atom_site_occupancy
In1 0.000 0.000 0.000 1
In2 0.078 0.500 0.745 1
Cu1 0.266 0.253 0.430 1
H1 0.345 0.000 0.300 1
H2 0.345 0.500 0.268 1
# **Calculated volume**: 182.8 Å³/cell
# **Electronic total energy**: -3.208 eV per atom
# **Energy relative to the lowest polymorph listed for this composition**: 5.9 kJ per mole of atoms

[6]
# PBE-GGA PmPr6Er5, optimized geometry
data_PmPr6Er5
_chemical_formula_sum 'Pm2 Pr12 Er10'
_cell_length_a 5.163
_cell_length_b 10.114
_cell_length_c 15.436
_cell_angle_alpha 90.00
_cell_angle_beta 90.00
_cell_angle_gamma 90.00
_symmetry_space_group_name_H-M 'I m m m'
_symmetry_Int_Tables_number 71
_symmetry_space_group_name_Hall '-I 2 2'
loop_
_atom_site_label
_atom_site_fract_x
_atom_site_fract_y
_atom_site_fract_z
_atom_site_occupancy
Pm1 0.000 0.000 0.000 1
Pr1 0.000 0.248 0.500 1
Pr2 0.000 0.251 0.167 1
Er1 0.000 0.000 0.333 1
Er2 0.000 0.500 0.000 1
Er3 0.000 0.500 0.332 1
# **E_form**: 0.02 eV/atom
# **Calculated volume**: 806.0 Å³/cell
# **Electronic total energy**: -4.669 eV per atom

[7]
# PBE-GGA La2Ta, optimized geometry
data_La2Ta
_chemical_formula_sum 'La4 Ta2'
_cell_length_a 3.952
_cell_length_b 3.952
_cell_length_c 10.883
_cell_angle_alpha 90.00
_cell_angle_beta 90.00
_cell_angle_gamma 90.00
_symmetry_space_group_name_H-M 'I 4/m m m'
_symmetry_Int_Tables_number 139
_symmetry_space_group_name_Hall '-I 4 2'
loop_
_atom_site_label
_atom_site_fract_x
_atom_site_fract_y
_atom_site_fract_z
_atom_site_occupancy
La1 0.000 0.000 0.147 1
Ta1 0.000 0.000 0.500 1
# **E_form**: 0.52 eV/atom
# **Calculated volume**: 169.9 Å³/cell
# **Electronic total energy**: -6.713 eV per atom
# **Energy relative to the lowest polymorph listed for this composition**: 23.7 kJ per mole of atoms

[8]
# PBE-GGA Sb2TeOs, optimized geometry
data_Sb2TeOs
_chemical_formula_sum 'Sb2 Te1 Os1'
_cell_length_a 5.172
_cell_length_b 5.172
_cell_length_c 3.328
_cell_angle_alpha 90.00
_cell_angle_beta 90.00
_cell_angle_gamma 90.00
_symmetry_space_group_name_H-M 'P 4/m m m'
_symmetry_Int_Tables_number 123
_symmetry_space_group_name_Hall '-P 4 2'
loop_
_atom_site_label
_atom_site_fract_x
_atom_site_fract_y
_atom_site_fract_z
_atom_site_occupancy
Sb1 0.000 0.500 0.000 1
Te1 0.000 0.000 0.500 1
Os1 0.500 0.500 0.500 1
# **Formation energy without anion corrections**: 0.892 eV per atom
# **Calculated volume**: 89.0 Å³/cell
# **Electronic total energy**: -4.762 eV per atom

Density of states at the Fermi level
In order: 7.56; 32.94; 5.89; 2.80; 3.10; 32.50; 8.20; 5.08
Unit: states/eV/cell